A plane-wave DFT calculation with PBE-GGA was carried out for crystalline HgRhO2 at its relaxed geometry.

Cell and atoms, written as POSCAR:
```
HgRhO2
1.0
3.489 -1.422 0.000
3.489 1.422 0.000
-2.716 0.000 6.056
Hg Rh O
1 1 2
Direct
0.000 0.000 0.000 Hg
0.500 0.500 0.500 Rh
0.114 0.114 0.736 O
0.886 0.886 0.264 O
```

Output
Crystal system ... monoclinic
Formation energy without anion corrections ... -0.8 eV/f.u.


A plane-wave DFT calculation with PBE-GGA was carried out for crystalline TlSnGeCl5 at its relaxed geometry.

Cell and atoms, written as POSCAR:
```
TlSnGeCl5
1.0
5.062 -5.709 0.000
5.062 5.709 0.000
-4.100 0.000 9.341
Tl Sn Ge Cl
2 2 2 10
Direct
0.065 0.935 0.750 Tl
0.935 0.065 0.250 Tl
0.000 0.500 0.000 Sn
0.500 0.000 0.500 Sn
0.483 0.517 0.750 Ge
0.517 0.483 0.250 Ge
0.198 0.233 0.084 Cl
0.211 0.789 0.250 Cl
0.233 0.198 0.584 Cl
0.305 0.628 0.904 Cl
0.372 0.695 0.596 Cl
0.628 0.305 0.404 Cl
0.695 0.372 0.096 Cl
0.767 0.802 0.416 Cl
0.789 0.211 0.750 Cl
0.802 0.767 0.916 Cl
```

Output
Crystal system ... monoclinic
Formation energy without anion corrections ... -7.3 eV/f.u.


A plane-wave DFT calculation with PBE-GGA was carried out for crystalline PrTiAs2 at its relaxed geometry.

Cell and atoms, written as POSCAR:
```
PrTiAs2
1.0
1.985 1.146 6.522
-1.985 1.146 6.522
0.000 -2.292 6.522
Pr Ti As
1 1 2
Direct
0.000 0.000 0.000 Pr
0.500 0.500 0.500 Ti
0.236 0.236 0.236 As
0.764 0.764 0.764 As
```

Output
Crystal system ... trigonal
Calculated formation energy ... -1.105 eV per atom


A plane-wave DFT calculation with PBE-GGA was carried out for crystalline Mn2Nb2Pt at its relaxed geometry.

Cell and atoms, written as POSCAR:
```
Mn2Nb2Pt
1.0
6.502 0.000 0.000
0.000 6.502 0.000
0.000 0.000 3.561
Mn Nb Pt
4 4 2
Direct
0.113 0.387 0.000 Mn
0.387 0.887 0.000 Mn
0.613 0.113 0.000 Mn
0.887 0.613 0.000 Mn
0.187 0.687 0.500 Nb
0.313 0.187 0.500 Nb
0.687 0.813 0.500 Nb
0.813 0.313 0.500 Nb
0.000 0.000 0.000 Pt
0.500 0.500 0.000 Pt
```

Output
Crystal system ... tetragonal
Calculated formation energy ... -0.146 eV per atom


A plane-wave DFT calculation with PBE-GGA was carried out for crystalline PdPbSe2O6 at its relaxed geometry.

Cell and atoms, written as POSCAR:
```
PdPbSe2O6
1.0
2.790 1.611 5.776
-2.790 1.611 5.776
0.000 -3.222 5.776
Pd Pb Se O
1 1 2 6
Direct
0.000 0.000 0.000 Pd
0.500 0.500 0.500 Pb
0.222 0.222 0.222 Se
0.778 0.778 0.778 Se
0.019 0.439 0.761 O
0.239 0.981 0.561 O
0.439 0.761 0.019 O
0.561 0.239 0.981 O
0.761 0.019 0.439 O
0.981 0.561 0.239 O
```

Output
Crystal system ... trigonal
Formation energy without anion corrections ... -6.0 eV/f.u.


A plane-wave DFT calculation with PBE-GGA was carried out for crystalline Cs2Ca2TaO6 at its relaxed geometry.

Cell and atoms, written as POSCAR:
```
Cs2Ca2TaO6
1.0
2.997 -5.123 0.000
2.997 5.123 0.000
-2.061 0.000 6.895
Cs Ca Ta O
2 2 1 6
Direct
0.169 0.831 0.000 Cs
0.831 0.169 0.000 Cs
0.337 0.663 0.500 Ca
0.663 0.337 0.500 Ca
0.000 0.000 0.500 Ta
0.049 0.341 0.657 O
0.231 0.231 0.342 O
0.341 0.049 0.657 O
0.659 0.951 0.343 O
0.769 0.769 0.658 O
0.951 0.659 0.343 O
```

Output
Crystal system ... monoclinic
Formation energy without anion corrections ... -26.0 eV/f.u.